[1]
# MgAu2S4O16 | the Alexandria database | PBE | relaxed
# Formation energy (no corrections) (eV per formula unit): -26.9
# V (Å³/atom): 14.47
data_MgAu2S4O16
_chemical_formula_sum 'Mg8 Au16 S32 O128'
_space_group_name_H-M_alt 'F d d 2'
_space_group_IT_number 43
_space_group_name_Hall 'F 2 -2d'
_cell_length_a 14.671
_cell_length_b 17.225
_cell_length_c 10.535
_cell_angle_alpha 90.00
_cell_angle_beta 90.00
_cell_angle_gamma 90.00
loop_
_atom_site_label
_atom_site_fract_x
_atom_site_fract_y
_atom_site_fract_z
_atom_site_occupancy
Mg1 0.000 0.000 0.000 1
Au1 0.096 0.122 0.549 1
S1 0.058 0.126 0.258 1
S2 0.112 0.378 0.094 1
O1 0.027 0.324 0.776 1
O2 0.028 0.325 0.069 1
O3 0.050 0.073 0.151 1
O4 0.065 0.073 0.871 1
O5 0.069 0.074 0.375 1
O6 0.095 0.438 0.186 1
O7 0.117 0.431 0.500 1
O8 0.120 0.172 0.719 1

=====

[2]
# MgSc2AuO | the Alexandria database | PBE | relaxed
# Formation energy (no corrections) (eV per formula unit): -7.3
# V (Å³/atom): 16.36
data_MgSc2AuO
_chemical_formula_sum 'Mg1 Sc2 Au1 O1'
_space_group_name_H-M_alt 'P 4/m m m'
_space_group_IT_number 123
_space_group_name_Hall '-P 4 2'
_cell_length_a 4.381
_cell_length_b 4.381
_cell_length_c 4.264
_cell_angle_alpha 90.00
_cell_angle_beta 90.00
_cell_angle_gamma 90.00
loop_
_atom_site_label
_atom_site_fract_x
_atom_site_fract_y
_atom_site_fract_z
_atom_site_occupancy
Mg1 0.000 0.000 0.000 1
Sc1 0.000 0.500 0.500 1
Au1 0.500 0.500 0.000 1
O1 0.000 0.000 0.500 1

=====

[3]
# MgScAuO4 | the Alexandria database | PBE | relaxed
# Formation energy (no corrections) (eV per formula unit): -13.4
# V (Å³/atom): 13.23
data_MgScAuO4
_chemical_formula_sum 'Mg4 Sc4 Au4 O16'
_space_group_name_H-M_alt 'I m m a'
_space_group_IT_number 74
_space_group_name_Hall '-I 2b 2'
_cell_length_a 6.113
_cell_length_b 6.138
_cell_length_c 9.872
_cell_angle_alpha 90.00
_cell_angle_beta 90.00
_cell_angle_gamma 90.00
loop_
_atom_site_label
_atom_site_fract_x
_atom_site_fract_y
_atom_site_fract_z
_atom_site_occupancy
Mg1 0.000 0.250 0.116 1
Sc1 0.250 0.250 0.750 1
Au1 0.000 0.000 0.500 1
O1 0.000 0.025 0.785 1
O2 0.224 0.250 0.520 1

=====

[4]
# Mg2ScAuO | the Alexandria database | PBE | relaxed
# Formation energy (no corrections) (eV per formula unit): -6.7
# V (Å³/atom): 15.80
data_Mg2ScAuO
_chemical_formula_sum 'Mg2 Sc1 Au1 O1'
_space_group_name_H-M_alt 'P 4/m m m'
_space_group_IT_number 123
_space_group_name_Hall '-P 4 2'
_cell_length_a 4.204
_cell_length_b 4.204
_cell_length_c 4.469
_cell_angle_alpha 90.00
_cell_angle_beta 90.00
_cell_angle_gamma 90.00
loop_
_atom_site_label
_atom_site_fract_x
_atom_site_fract_y
_atom_site_fract_z
_atom_site_occupancy
Mg1 0.000 0.500 0.000 1
Sc1 0.000 0.000 0.500 1
Au1 0.500 0.500 0.500 1
O1 0.000 0.000 0.000 1

=====

[5]
# SrMg2AuO4 | the Alexandria database | PBE | relaxed
# Formation energy (no corrections) (eV per formula unit): -13.3
# V (Å³/atom): 13.58
data_SrMg2AuO4
_chemical_formula_sum 'Sr4 Mg8 Au4 O16'
_space_group_name_H-M_alt 'C m c m'
_space_group_IT_number 63
_space_group_name_Hall '-C 2c 2'
_cell_length_a 3.163
_cell_length_b 11.564
_cell_length_c 11.886
_cell_angle_alpha 90.00
_cell_angle_beta 90.00
_cell_angle_gamma 90.00
loop_
_atom_site_label
_atom_site_fract_x
_atom_site_fract_y
_atom_site_fract_z
_atom_site_occupancy
Sr1 0.000 0.179 0.250 1
Mg1 0.000 0.372 0.021 1
Au1 0.000 0.090 0.750 1
O1 0.000 0.000 0.000 1
O2 0.000 0.235 0.603 1
O3 0.000 0.475 0.750 1

=====

[6]
# Sr2MgAu2O6 | the Alexandria database | PBE | relaxed
# Formation energy (no corrections) (eV per formula unit): -13.7
# V (Å³/atom): 15.97
data_Sr2MgAu2O6
_chemical_formula_sum 'Sr6 Mg3 Au6 O18'
_space_group_name_H-M_alt 'R -3 m'
_space_group_IT_number 166
_space_group_name_Hall '-R 3 2"'
_cell_length_a 6.0213
_cell_length_b 6.0213
_cell_length_c 16.7810
_cell_angle_alpha 90.00
_cell_angle_beta 90.00
_cell_angle_gamma 120.00
loop_
_atom_site_label
_atom_site_fract_x
_atom_site_fract_y
_atom_site_fract_z
_atom_site_occupancy
Sr1 0.0000 0.0000 0.2097 1
Mg1 0.0000 0.0000 0.0000 1
Au1 0.0000 0.0000 0.4112 1
O1 0.0515 0.5258 0.7540 1